(1)
First-principles (PBE) data for a relaxed LaNdCdNi crystal, as listed in Alexandria via LeMat-Bulk.

Geometry as POSCAR:
```
LaNdCdNi
1.0
7.461 0.000 0.000
0.000 7.461 0.000
0.000 0.000 7.461
La Nd Cd Ni
4 4 4 4
Cartesian
0.000 0.000 0.000
0.000 3.730 3.730
3.730 0.000 3.730
3.730 3.730 0.000
0.000 0.000 3.730
0.000 3.730 0.000
3.730 0.000 0.000
3.730 3.730 3.730
1.865 1.865 1.865
1.865 5.596 5.596
5.596 1.865 5.596
5.596 5.596 1.865
1.865 1.865 5.596
1.865 5.596 1.865
5.596 1.865 1.865
5.596 5.596 5.596
```

The value obtained for the energy of formation is -176.8 meV per atom. Its mass density is 7.3 g/cm³. As for the space-group type: No. 216.

(2)
First-principles (PBE) data for a relaxed La2NdCdO crystal, as listed in Alexandria via LeMat-Bulk.

Geometry as POSCAR:
```
La2NdCdO
1.0
5.079 0.000 0.000
0.000 5.079 0.000
0.000 0.000 5.025
La Nd Cd O
2 1 1 1
Cartesian
0.000 2.539 0.000
2.539 0.000 0.000
0.000 0.000 2.512
2.539 2.539 2.512
0.000 0.000 0.000
```

Its mass density is 7.1 g/cm³. The raw formation energy comes out at -1.290 eV/atom. As for the space-group type: No. 123.

(3)
First-principles (PBE) data for a relaxed LaNdCdOs crystal, as listed in Alexandria via LeMat-Bulk.

Geometry as POSCAR:
```
LaNdCdOs
1.0
7.391 0.000 0.000
0.000 7.391 0.000
0.000 0.000 7.391
La Nd Cd Os
4 4 4 4
Cartesian
0.000 0.000 0.000
0.000 3.695 3.695
3.695 0.000 3.695
3.695 3.695 0.000
0.000 0.000 3.695
0.000 3.695 0.000
3.695 0.000 0.000
3.695 3.695 3.695
1.848 1.848 5.543
1.848 5.543 1.848
5.543 1.848 1.848
5.543 5.543 5.543
1.848 1.848 1.848
1.848 5.543 5.543
5.543 1.848 5.543
5.543 5.543 1.848
```

The value obtained for the energy of formation is -51.0 meV per atom. Its mass density is 9.6 g/cm³. As for the space-group type: No. 216.

(4)
First-principles (PBE) data for a relaxed LaNdCdPb crystal, as listed in Alexandria via LeMat-Bulk.

Geometry as POSCAR:
```
LaNdCdPb
1.0
7.860 0.000 0.000
0.000 7.860 0.000
0.000 0.000 7.860
La Nd Cd Pb
4 4 4 4
Cartesian
0.000 0.000 0.000
0.000 3.930 3.930
3.930 0.000 3.930
3.930 3.930 0.000
0.000 0.000 3.930
0.000 3.930 0.000
3.930 0.000 0.000
3.930 3.930 3.930
1.965 1.965 5.895
1.965 5.895 1.965
5.895 1.965 1.965
5.895 5.895 5.895
1.965 1.965 1.965
1.965 5.895 5.895
5.895 1.965 5.895
5.895 5.895 1.965
```

The value obtained for the energy of formation is -457.1 meV per atom. Its mass density is 8.2 g/cm³. As for the space-group type: No. 216.

(5)
First-principles (PBE) data for a relaxed LaNdCdPd crystal, as listed in Alexandria via LeMat-Bulk.

Geometry as POSCAR:
```
LaNdCdPd
1.0
7.551 0.000 0.000
0.000 7.551 0.000
0.000 0.000 7.551
La Nd Cd Pd
4 4 4 4
Cartesian
0.000 0.000 0.000
0.000 3.775 3.775
3.775 0.000 3.775
3.775 3.775 0.000
0.000 0.000 3.775
0.000 3.775 0.000
3.775 0.000 0.000
3.775 3.775 3.775
1.888 1.888 5.663
1.888 5.663 1.888
5.663 1.888 1.888
5.663 5.663 5.663
1.888 1.888 1.888
1.888 5.663 5.663
5.663 1.888 5.663
5.663 5.663 1.888
```

The value obtained for the energy of formation is -469.6 meV per atom. Its mass density is 7.7 g/cm³. As for the space-group type: No. 216.

(6)
First-principles (PBE) data for a relaxed La2Pm7NdCd2 crystal, as listed in Alexandria via LeMat-Bulk.

Geometry as POSCAR:
```
La2Pm7NdCd2
1.0
3.502 -5.183 0.000
3.502 5.183 0.000
0.000 0.000 11.053
La Pm Nd Cd
2 7 1 2
Cartesian
0.000 0.000 1.668
0.000 0.000 9.386
0.000 0.000 5.527
1.751 2.591 3.617
1.751 2.591 7.436
3.502 2.044 0.000
1.751 -2.591 3.617
1.751 -2.591 7.436
3.502 -2.044 0.000
3.502 0.000 5.527
3.502 0.000 2.445
3.502 0.000 8.608
```

The value obtained for the energy of formation is 3.4 meV per atom. Its mass density is 6.9 g/cm³. As for the space-group type: No. 65.

(7)
First-principles (PBE) data for a relaxed La4PmNd2Cd crystal, as listed in Alexandria via LeMat-Bulk.

Geometry as POSCAR:
```
La4PmNd2Cd
1.0
5.972 0.000 0.000
0.000 5.972 0.000
0.000 0.000 7.664
La Pm Nd Cd
4 1 2 1
Cartesian
0.000 2.986 1.745
0.000 2.986 5.919
2.986 0.000 1.745
2.986 0.000 5.919
0.000 0.000 3.832
0.000 0.000 0.000
2.986 2.986 3.832
2.986 2.986 0.000
```

The value obtained for the energy of formation is -4.1 meV per atom. Its mass density is 6.7 g/cm³. As for the space-group type: No. 123.

(8)
First-principles (PBE) data for a relaxed La2PmNd2Cd5 crystal, as listed in Alexandria via LeMat-Bulk.

Geometry as POSCAR:
```
La2PmNd2Cd5
1.0
10.853 0.000 0.000
0.000 10.853 0.000
0.000 0.000 4.941
La Pm Nd Cd
4 2 4 10
Cartesian
1.909 3.517 0.000
3.517 8.944 0.000
7.335 1.909 0.000
8.944 7.335 0.000
0.000 0.000 0.000
5.426 5.426 0.000
1.355 6.781 0.000
4.072 1.355 0.000
6.781 9.498 0.000
9.498 4.072 0.000
0.000 5.426 2.471
0.757 8.775 2.471
2.078 0.757 2.471
3.348 6.183 2.471
4.670 3.348 2.471
5.426 0.000 2.471
6.183 7.504 2.471
7.504 4.670 2.471
8.775 10.096 2.471
10.096 2.078 2.471
```

The value obtained for the energy of formation is -201.8 meV per atom. Its mass density is 7.3 g/cm³. As for the space-group type: No. 127.

no.,total DFT energy (no corrections) (eV per atom),total moment (μB/f.u.),N(E_F) (states/eV per atom)
1,-4.275,0.00,0.87
2,-5.390,0.00,0.97
3,-5.511,0.00,1.22
4,-4.037,0.00,0.97
5,-4.420,0.00,0.85
6,-4.139,0.00,1.61
7,-4.368,0.00,1.31
8,-3.074,0.00,0.66